An optimized crystal structure of Cr4Ga2O9, computed with GGA+U.

Structure (extended XYZ):
```
30
Lattice="5.079 0.000 0.000 -2.539 4.398 0.000 0.000 0.000 13.743" Properties=species:S:1:pos:R:3 pbc="T T T"
Cr 0.000 2.932 0.220
Cr 0.000 2.932 4.337
Cr 0.000 2.932 7.091
Cr 0.000 2.932 11.209
Cr 2.539 1.466 2.534
Cr 2.539 1.466 6.652
Cr 2.539 1.466 9.406
Cr 2.539 1.466 13.524
Ga 0.000 0.000 2.025
Ga 0.000 0.000 4.847
Ga 0.000 0.000 8.896
Ga 0.000 0.000 11.719
O -0.766 1.327 3.436
O -1.773 3.071 10.307
O -0.761 1.593 12.596
O -1.540 2.942 5.725
O 1.532 0.000 3.436
O 0.766 1.327 10.307
O 0.761 1.593 5.725
O -0.779 4.261 12.596
O 1.760 0.137 8.019
O 0.999 1.456 1.147
O 1.540 2.942 12.596
O 0.779 4.261 5.725
O 3.318 0.137 1.147
O 1.778 2.805 8.019
O 3.547 0.000 10.307
O 1.773 3.071 3.436
O 4.080 1.456 8.019
O 3.301 2.805 1.147
```

The calculation puts the electronic total energy at -7.285 eV/atom.